(1)
DFT (GGA-PBE) results for crystalline CsKIrCl6 at its relaxed geometry.

Uncorrected formation energy ... -1.13 eV/atom
SG ... P312, No. 149
Density of states at the Fermi level ... 10.1 states/eV per cell
Total energy ... -32.10 eV per cell

The structure in POSCAR format:
```
CsKIrCl6
1.0
-5.4195 -0.7982 -5.0825
-0.2019 -6.0932 -4.3210
-3.9860 -3.2434 4.7593
Cs K Ir Cl
1 1 1 6
direct
0.0000 0.0000 0.0002
0.6666 0.6667 0.5001
0.3333 0.3333 0.5000
0.0769 0.3350 0.3048
0.3347 0.0770 0.6951
0.5882 0.3348 0.6951
0.0770 0.5882 0.6951
0.3350 0.5881 0.3047
0.5880 0.0770 0.3048
```

***

(2)
DFT (GGA-PBE) results for crystalline Sm3YSc6 at its relaxed geometry.

SG ... Cmc2_1, No. 36
Formation energy from the elements ... 217 kJ/mol of formula units
Density of states at the Fermi level ... 33.6 states/eV per cell
Total energy ... -112.71 eV per cell

The structure in POSCAR format:
```
Sm3YSc6
1.0
-1.9325 -3.4540 5.3031
4.7023 -7.4439 -3.1349
7.2368 3.3909 4.8457
Sm Y Sc
6 2 12
direct
0.4885 0.8299 0.7538
0.9885 0.7538 0.8299
0.2111 0.4053 0.5947
0.7111 0.5947 0.4053
0.9885 0.1701 0.2462
0.4885 0.2462 0.1701
0.0136 0.1945 0.8055
0.5136 0.8055 0.1945
0.1997 0.7287 0.4991
0.6997 0.4991 0.7287
0.3128 0.5204 0.9481
0.8128 0.9481 0.5204
0.2490 0.9918 0.0082
0.5096 0.2086 0.7914
0.0096 0.7914 0.2086
0.7490 0.0082 0.9918
0.3128 0.0519 0.4796
0.8128 0.4796 0.0519
0.1997 0.5009 0.2713
0.6997 0.2713 0.5009
```

***

(3)
DFT (GGA-PBE) results for crystalline Pr2Mg15Ag2 at its relaxed geometry.

SG ... R-3m, No. 166
Formation energy from the elements ... -133 kJ/mol of formula units
Density of states at the Fermi level ... 8.6 states/eV per cell
Total energy ... -40.56 eV per cell

The structure in POSCAR format:
```
Pr2Mg15Ag2
1.0
-7.5493 1.2419 -1.1438
-2.2430 -0.1200 7.4026
-0.0330 7.6362 1.2374
Pr Mg Ag
2 15 2
direct
0.3274 0.3274 0.3274
0.6726 0.6726 0.6726
0.5000 0.0000 0.0000
0.0000 0.0000 0.5000
0.0000 0.5000 0.0000
0.0000 0.7036 0.2964
0.7036 0.2964 0.0000
0.2964 0.0000 0.7036
0.2964 0.7036 0.0000
0.7036 0.0000 0.2964
0.0000 0.2964 0.7036
0.1555 0.6496 0.6496
0.6496 0.6496 0.1555
0.6496 0.1555 0.6496
0.8445 0.3504 0.3504
0.3504 0.3504 0.8445
0.3504 0.8445 0.3504
0.0997 0.0997 0.0997
0.9003 0.9003 0.9003
```